This record from Alexandria describes La2Ir at its PBEsol-relaxed geometry. The functional is meta-GGA SCAN.

Geometry as POSCAR:
```
La2Ir
1.0
-2.798 -3.078 -0.922
4.833 -3.519 -2.917
1.368 -3.010 5.897
Ir La
2 4
direct
0.500 0.500 0.500
0.000 0.000 0.000
0.500 0.774 0.166
0.000 0.726 0.666
0.000 0.274 0.334
0.500 0.226 0.834
```

Computed properties:
- DFT total energy (eV per atom) = -53.2045
- DFT formation energy (eV per atom) = -0.7681


This record from Alexandria describes Sr2CdTe at its PBEsol-relaxed geometry. The functional is meta-GGA SCAN.

Geometry as POSCAR:
```
Sr2CdTe
1.0
4.089 0.000 0.000
0.000 5.579 0.000
0.000 0.000 5.579
Sr Te Cd
2 1 1
direct
0.000 0.500 0.000
0.000 0.000 0.500
0.500 0.500 0.500
0.500 0.000 0.000
```

Computed properties:
- formation energy (no corrections) (eV/atom) = -0.926
- energy above the most stable polymorph in this dataset (eV per formula unit) = 0.35
- DFT total energy (eV per atom) = -28.9796


This record from Alexandria describes Sr2CdCuSn at its PBEsol-relaxed geometry. The functional is meta-GGA SCAN.

Geometry as POSCAR:
```
Sr2CdCuSn
1.0
5.057 0.000 0.000
0.000 6.146 0.000
0.000 0.000 6.146
Sr Cu Cd Sn
2 1 1 1
direct
0.000 0.000 0.500
0.000 0.500 0.000
0.500 0.500 0.500
0.000 0.000 0.000
0.500 0.000 0.000
```

Computed properties:
- DFT total energy (eV per atom) = -24.9212
- DFT formation energy (eV per atom) = 0.2959